1.
A geometry-optimized Sm8Rh3CI3 structure. Source: the Alexandria database, functional GGA-PBE.

Cell: 9.2888 9.2888 9.2888 Å, 52.13 52.13 52.13°
Closest atoms and distances in Å follow each position.
Positions (direct):
1 Sm 0.2292 0.2292 0.2292  3 Rh 2.79
2 Sm 0.2469 0.7126 0.7126  1 C 2.59, 2 Rh 2.80
3 Sm 0.2874 0.2874 0.7531  1 C 2.59, 2 Rh 2.80
4 Sm 0.2874 0.7531 0.2874  1 C 2.59, 2 Rh 2.80
5 Sm 0.7126 0.2469 0.7126  1 C 2.59, 2 Rh 2.80
6 Sm 0.7126 0.7126 0.2469  1 C 2.59, 2 Rh 2.80
7 Sm 0.7531 0.2874 0.2874  1 C 2.59, 2 Rh 2.80
8 Sm 0.7708 0.7708 0.7708  3 Rh 2.79
9 Rh 0.0000 0.0000 0.5000  6 Sm 2.79-2.80
10 Rh 0.0000 0.5000 0.0000  6 Sm 2.79-2.80
11 Rh 0.5000 0.0000 0.0000  6 Sm 2.79-2.80
12 C 0.5000 0.5000 0.5000  6 Sm 2.59
13 I 0.0000 0.5000 0.5000  6 Sm 3.44-3.48
14 I 0.5000 0.0000 0.5000  6 Sm 3.44-3.48
15 I 0.5000 0.5000 0.0000  6 Sm 3.44-3.48

Calculated values
The value obtained for the volume is 461.9 Å³/cell. As for the total DFT energy (no corrections): -5.62 eV per atom. As for the raw formation energy: -0.71 eV/atom.



2.
A geometry-optimized IrPt2 structure. Source: the Alexandria database, functional GGA-PBE.

Cell: 4.5440 4.5440 2.7072 Å, 90.00 90.00 90.00°
Closest atoms and distances in Å follow each position.
Positions (direct):
1 Ir 0.0000 0.0000 0.0000  8 Pt 2.64, 2 Ir 2.71
2 Pt 0.0000 0.5000 0.5000  4 Ir 2.64, 2 Pt 2.71
3 Pt 0.5000 0.0000 0.5000  4 Ir 2.64, 2 Pt 2.71

Calculated values
The value obtained for the volume is 55.9 Å³/cell. As for the total DFT energy (no corrections): -6.52 eV per atom. For the formation energy from the elements, the calculation gives 458 meV per atom. The value obtained for the distance to the lowest polymorph of the same formula is 418.1 meV per atom.



3.
A geometry-optimized PbSeN2O structure. Source: the Alexandria database, functional GGA-PBE.

Cell: 4.4271 4.4271 4.1401 Å, 90.00 90.00 90.00°
Closest atoms and distances in Å follow each position.
Positions (direct):
1 Pb 0.0000 0.0000 0.0000  2 O 2.07, 4 N 2.21
2 Se 0.5000 0.5000 0.5000  8 N 3.03, 4 O 3.13
3 N 0.0000 0.5000 0.0000  2 Pb 2.21
4 N 0.5000 0.0000 0.0000  2 Pb 2.21
5 O 0.0000 0.0000 0.5000  2 Pb 2.07

Calculated values
The value obtained for the volume is 81.1 Å³/cell. As for the total DFT energy (no corrections): -3.99 eV per atom. As for the raw formation energy: 1.77 eV/atom.



4.
A geometry-optimized MoHPd2Pt structure. Source: the Alexandria database, functional GGA-PBE.

Cell: 3.9668 3.9668 4.0916 Å, 90.00 90.00 90.00°
Closest atoms and distances in Å follow each position.
Positions (direct):
1 Mo 0.0000 0.0000 0.0000  2 H 2.05
2 H 0.0000 0.0000 0.5000  4 Pd 1.98, 2 Mo 2.05
3 Pd 0.0000 0.5000 0.5000  2 H 1.98
4 Pd 0.5000 0.0000 0.5000  2 H 1.98
5 Pt 0.5000 0.5000 0.0000  4 Mo 2.80, 8 Pd 2.85

Calculated values
The value obtained for the volume is 64.4 Å³/cell. As for the total DFT energy (no corrections): -6.07 eV per atom.



5.
A geometry-optimized LaO2F structure. Source: the Alexandria database, functional GGA-PBE.

Cell: 3.8610 3.8610 16.1590 Å, 90.00 90.00 120.00°
Closest atoms and distances in Å follow each position.
Positions (direct):
1 La 0.0000 0.0000 0.0000  6 O 2.40
2 La 0.3333 0.6667 0.6667  6 O 2.40
3 La 0.6667 0.3333 0.3333  6 O 2.40
4 O 0.0000 0.0000 0.3880  1 F 1.81
5 O 0.0000 0.0000 0.6120  1 F 1.81
6 O 0.3333 0.6667 0.0547  1 F 1.81
7 O 0.3333 0.6667 0.2786  1 F 1.81
8 O 0.6667 0.3333 0.7214  1 F 1.81
9 O 0.6667 0.3333 0.9453  1 F 1.81
10 F 0.0000 0.0000 0.5000  2 O 1.81
11 F 0.3333 0.6667 0.1667  2 O 1.81
12 F 0.6667 0.3333 0.8333  2 O 1.81

Calculated values
The value obtained for the volume is 208.6 Å³/cell. As for the total DFT energy (no corrections): -6.20 eV per atom. As for the raw formation energy: -2.02 eV/atom. The value obtained for the distance to the lowest polymorph of the same formula is 283.3 meV per atom.